[1]
{
  "formula": "NaSrRe",
  "functional": "PBE",
  "state": "optimized geometry",
  "m_tot_mub_per_fu": 2.84,
  "rho_g_cm3": 5.2,
  "final_energy_ev_per_atom": -3.25,
  "spacegroup": "F-43m",
  "cell": [[0.0000, 3.6254, 3.6254], [3.6254, 0.0000, 3.6254], [3.6254, 3.6254, 0.0000]],
  "species": ["Na", "Sr", "Re"],
  "frac_coords": [[0.0000, 0.0000, 0.0000], [0.2500, 0.2500, 0.2500], [0.5000, 0.5000, 0.5000]]
}


[2]
{
  "formula": "NaSrRe",
  "functional": "PBE",
  "state": "optimized geometry",
  "m_tot_mub_per_fu": 2.94,
  "rho_g_cm3": 5.1,
  "final_energy_ev_per_atom": -3.48,
  "spacegroup": "F-43m",
  "cell": [[0.0000, 3.6413, 3.6413], [3.6413, 0.0000, 3.6413], [3.6413, 3.6413, 0.0000]],
  "species": ["Na", "Sr", "Re"],
  "frac_coords": [[0.0000, 0.0000, 0.0000], [0.5000, 0.5000, 0.5000], [0.2500, 0.2500, 0.2500]]
}


[3]
{
  "formula": "NaTaRe",
  "functional": "PBE",
  "state": "optimized geometry",
  "m_tot_mub_per_fu": 0.01,
  "rho_g_cm3": 10.6,
  "final_energy_ev_per_atom": -7.19,
  "spacegroup": "F-43m",
  "cell": [[0.0000, 3.1279, 3.1279], [3.1279, 0.0000, 3.1279], [3.1279, 3.1279, 0.0000]],
  "species": ["Na", "Ta", "Re"],
  "frac_coords": [[0.0000, 0.0000, 0.0000], [0.5000, 0.5000, 0.5000], [0.2500, 0.2500, 0.2500]]
}